## Li2Ga3Co (GGA-PBE)

Data for Li2Ga3Co after structural relaxation.

abc: 6.811 6.811 5.825
angles: 90.00 90.00 143.15
Positions (direct):
Li 0.000 0.000 0.000
Li 0.000 0.000 0.500
Li 0.340 0.660 0.000
Li 0.660 0.340 0.000
Ga 0.172 0.828 0.263
Ga 0.172 0.828 0.737
Ga 0.500 0.500 0.265
Ga 0.500 0.500 0.735
Ga 0.828 0.172 0.263
Ga 0.828 0.172 0.737
Co 0.337 0.663 0.500
Co 0.663 0.337 0.500

ΔH_f (0 K) = -0.27 eV per atom
calculated density = 5.78 Mg/m³
total moment = 0.0 μB/cell
space-group type = No. 65